No. 1
The following is a GGA-PBE calculation of a relaxed LiZrPbC2 crystal, from Alexandria.

Calculated values
The calculation puts the formation energy at 1390 meV/atom. As for the total moment: 0.000 μB/cell. The density of states at the Fermi level comes out at 2.556 states/eV/cell. The total energy is -25.7 eV for the cell shown.

```
data_LiZrPbC2
_chemical_formula_sum 'Li1 Zr1 Pb1 C2'
_symmetry_space_group_name_H-M 'P 1'
_symmetry_Int_Tables_number 1
_symmetry_space_group_name_Hall 'P 1'
_cell_length_a 4.3974
_cell_length_b 4.3974
_cell_length_c 5.7361
_cell_angle_alpha 90.00
_cell_angle_beta 90.00
_cell_angle_gamma 90.00
loop_
_atom_site_label
_atom_site_fract_x
_atom_site_fract_y
_atom_site_fract_z
Li1 0.0000 0.0000 0.0000
Zr1 0.5000 0.5000 0.5000
Pb1 0.5000 0.5000 0.0000
C1 0.0000 0.5000 0.5000
C2 0.5000 0.0000 0.5000
```

No. 2
The following is a GGA-PBE calculation of a relaxed Zr2TlPt crystal, from Alexandria.

Calculated values
The calculation puts the formation energy at -424 meV/atom. As for the total moment: 0.000 μB/cell. The density of states at the Fermi level comes out at 3.700 states/eV/cell. The total energy is -27.2 eV for the cell shown. The offset from the most stable computed form comes out at 0.28 eV/f.u.

```
data_Zr2TlPt
_chemical_formula_sum 'Zr2 Tl1 Pt1'
_symmetry_space_group_name_H-M 'P 1'
_symmetry_Int_Tables_number 1
_symmetry_space_group_name_Hall 'P 1'
_cell_length_a 5.2631
_cell_length_b 5.2631
_cell_length_c 5.2631
_cell_angle_alpha 130.78
_cell_angle_beta 130.78
_cell_angle_gamma 72.17
loop_
_atom_site_label
_atom_site_fract_x
_atom_site_fract_y
_atom_site_fract_z
Zr1 0.2500 0.7500 0.5000
Zr2 0.7500 0.2500 0.5000
Tl1 0.0000 0.0000 0.0000
Pt1 0.5000 0.5000 0.0000
```